1.
# PBE-GGA Ca2Sc2Br, relaxed
data_Ca2Sc2Br
_chemical_formula_sum 'Ca4 Sc4 Br2'
_space_group_name_H-M_alt 'P 4/m b m'
_space_group_IT_number 127
_space_group_name_Hall '-P 4 2ab'
_cell_length_a 7.718
_cell_length_b 7.718
_cell_length_c 5.592
_cell_angle_alpha 90.00
_cell_angle_beta 90.00
_cell_angle_gamma 90.00
loop_
_atom_site_label
_atom_site_fract_x
_atom_site_fract_y
_atom_site_fract_z
Ca1 0.158 0.342 0.000
Sc1 0.135 0.635 0.500
Br1 0.000 0.000 0.000
# M_tot   2.18 μB/cell
# Total DFT energy (no corrections)   -3.658 eV/atom
# Formation energy (no corrections)   0.0 eV/f.u.
# Crystal system   tetragonal

---

2.
# PBE-GGA Tb6AlIn2, relaxed
data_Tb6AlIn2
_chemical_formula_sum 'Tb6 Al1 In2'
_space_group_name_H-M_alt 'P -6 2 m'
_space_group_IT_number 189
_space_group_name_Hall 'P -6 -2'
_cell_length_a 8.3569
_cell_length_b 8.3569
_cell_length_c 4.3525
_cell_angle_alpha 90.00
_cell_angle_beta 90.00
_cell_angle_gamma 120.00
loop_
_atom_site_label
_atom_site_fract_x
_atom_site_fract_y
_atom_site_fract_z
Tb1 0.0000 0.2567 0.0000
Tb2 0.0000 0.6001 0.5000
Al1 0.0000 0.0000 0.5000
In1 0.3333 0.6667 0.0000
# M_tot   3.30 μB/cell
# Total DFT energy (no corrections)   -4.383 eV/atom
# DFT formation energy   -0.2721 eV/atom
# Crystal system   hexagonal

---

3.
# PBE-GGA YGa2Os2, relaxed
data_YGa2Os2
_chemical_formula_sum 'Y2 Ga4 Os4'
_space_group_name_H-M_alt 'P 4/m b m'
_space_group_IT_number 127
_space_group_name_Hall '-P 4 2ab'
_cell_length_a 7.382
_cell_length_b 7.382
_cell_length_c 3.057
_cell_angle_alpha 90.00
_cell_angle_beta 90.00
_cell_angle_gamma 90.00
loop_
_atom_site_label
_atom_site_fract_x
_atom_site_fract_y
_atom_site_fract_z
Y1 0.000 0.000 0.000
Ga1 0.131 0.369 0.000
Os1 0.162 0.662 0.500
# M_tot   0.00 μB/cell
# Total DFT energy (no corrections)   -7.143 eV/atom
# DFT formation energy   -0.1478 eV/atom
# Crystal system   tetragonal

---

4.
# PBE-GGA SrSc3Rh, relaxed
data_SrSc3Rh
_chemical_formula_sum 'Sr1 Sc3 Rh1'
_space_group_name_H-M_alt 'P m -3 m'
_space_group_IT_number 221
_space_group_name_Hall '-P 4 2 3'
_cell_length_a 5.173
_cell_length_b 5.173
_cell_length_c 5.173
_cell_angle_alpha 90.00
_cell_angle_beta 90.00
_cell_angle_gamma 90.00
loop_
_atom_site_label
_atom_site_fract_x
_atom_site_fract_y
_atom_site_fract_z
Sr1 0.000 0.000 0.000
Sc1 0.000 0.500 0.500
Rh1 0.500 0.500 0.500
# M_tot   0.00 μB/cell
# Total DFT energy (no corrections)   -5.860 eV/atom
# DFT formation energy   -0.2548 eV/atom
# Crystal system   cubic

---

5.
# PBE-GGA Ac3GaNi2, relaxed
data_Ac3GaNi2
_chemical_formula_sum 'Ac12 Ga4 Ni8'
_space_group_name_H-M_alt 'P 1 21/c 1'
_space_group_IT_number 14
_space_group_name_Hall '-P 2ybc'
_cell_length_a 6.381
_cell_length_b 11.738
_cell_length_c 9.674
_cell_angle_alpha 90.00
_cell_angle_beta 111.80
_cell_angle_gamma 90.00
loop_
_atom_site_label
_atom_site_fract_x
_atom_site_fract_y
_atom_site_fract_z
Ac1 0.167 0.232 0.332
Ac2 0.228 0.592 0.982
Ac3 0.310 0.552 0.599
Ga1 0.414 0.699 0.324
Ni1 0.192 0.514 0.271
Ni2 0.333 0.135 0.631
# M_tot   0.00 μB/cell
# Total DFT energy (no corrections)   -4.788 eV/atom
# DFT formation energy   -0.3020 eV/atom
# Crystal system   monoclinic

---

6.
# PBE-GGA GeSbPb3, relaxed
data_GeSbPb3
_chemical_formula_sum 'Ge1 Sb1 Pb3'
_space_group_name_H-M_alt 'P m -3 m'
_space_group_IT_number 221
_space_group_name_Hall '-P 4 2 3'
_cell_length_a 5.550
_cell_length_b 5.550
_cell_length_c 5.550
_cell_angle_alpha 90.00
_cell_angle_beta 90.00
_cell_angle_gamma 90.00
loop_
_atom_site_label
_atom_site_fract_x
_atom_site_fract_y
_atom_site_fract_z
Ge1 0.000 0.000 0.000
Sb1 0.500 0.500 0.500
Pb1 0.000 0.000 0.500
# M_tot   0.00 μB/cell
# Total DFT energy (no corrections)   -3.546 eV/atom
# Formation energy (no corrections)   2.1 eV/f.u.
# Crystal system   cubic